The following is a DFT calculation (GGA-PBE) of a relaxed Pa2GaRh crystal.

Values from the calculation:
Its distance to the lowest polymorph of the same formula is 107.1 meV/atom.

Lattice parameters (Å, degrees): 4.2850 4.2850 15.6379 90.00 90.00 120.00
Closest atoms and distances in Å follow each position.
Space group R3m (No. 160, hexagonal axes)
Asymmetric unit:
Pa (0.0000, 0.0000, 0.0000) [3 per cell]  3 Rh 2.89, 3 Pa 2.91, 4 Ga 3.18-3.21
Pa (0.0000, 0.0000, 0.2351) [3 per cell]  3 Pa 2.91, 3 Ga 2.99, 1 Rh 3.03
Ga (0.0000, 0.0000, 0.7948) [3 per cell]  3 Rh 2.53
Rh (0.0000, 0.0000, 0.4291) [3 per cell]  3 Ga 2.53